# Tb6GaNi

A relaxed Tb6GaNi crystal (PBE-GGA, Alexandria).

Structure (POSCAR):
```
Tb6GaNi
1.0
6.7632 0.0000 0.0000
0.0000 11.4097 0.0000
-2.6374 0.0000 6.0835
Tb Ga Ni
12 2 2
Direct
0.2274 0.1896 0.2451
0.2274 0.8104 0.2451
0.2350 0.0000 0.7682
0.2650 0.5000 0.2318
0.2726 0.3104 0.7549
0.2726 0.6896 0.7549
0.7274 0.3104 0.2451
0.7274 0.6896 0.2451
0.7350 0.5000 0.7682
0.7650 0.0000 0.2318
0.7726 0.1896 0.7549
0.7726 0.8104 0.7549
0.0000 0.5000 0.5000
0.5000 0.0000 0.5000
0.0000 0.0000 0.0000
0.5000 0.5000 0.0000
```

V (Å³/atom): 29.340
Formation energy from the elements (eV per formula unit): -0.43
Final energy (eV per cell): -74.05